Here is SrB2MoO6 after structural relaxation from Alexandria. Energies are from PBE+U.

POSCAR file:
```
SrB2MoO6
1.0
4.992 0.000 0.000
2.496 4.323 0.000
2.496 1.441 5.665
Sr B Mo O
1 2 1 6
Direct
0.000 0.000 0.000 Sr
0.763 0.763 0.710 B
0.237 0.237 0.290 B
0.500 0.500 0.500 Mo
0.059 0.510 0.717 O
0.714 0.059 0.717 O
0.490 0.286 0.283 O
0.941 0.490 0.283 O
0.286 0.941 0.283 O
0.510 0.714 0.717 O
```

Output
**Spin magnetization**: 2.000 μB/cell
**Space-group type**: R-3, No. 148
**Raw total energy**: -7.608 eV per atom